(1)
## CsErBe2Br8 (PBE)

Data for an optimized crystal structure of CsErBe2Br8.

The value obtained for the total energy is -0.13217 Ha/atom. For the uncorrected formation energy, the calculation gives -1409 meV per atom. The calculated volume comes out at 404.9 Å³/cell. For the density of states at the Fermi level, the calculation gives 0.00 states/eV/cell. The calculation puts the density at 3.926 g cm⁻³.

a = 6.6466 Å, b = 6.6466 Å, c = 11.2576 Å
α = 72.83°, β = 72.83°, γ = 60.00°
Last column: nearest neighbours and their distance in Å.
Fractional positions:
Be: 0.7424 0.7424 0.7728  4 Br 2.12-2.24
Be: 0.2576 0.2576 0.2272  4 Br 2.12-2.24
Br: 0.5997 0.2786 0.1563  1 Be 2.24
Br: 0.8091 0.8091 0.5727  1 Be 2.12
Br: 0.4003 0.7214 0.8437  1 Be 2.24
Br: 0.1909 0.1909 0.4273  1 Be 2.12
Br: 0.7214 0.0346 0.8437  1 Be 2.24
Br: 0.0346 0.4003 0.8437  1 Be 2.24
Br: 0.9654 0.5997 0.1563  1 Be 2.24
Br: 0.2786 0.9654 0.1563  1 Be 2.24
Cs: 0.5000 0.5000 0.5000  12 Br 3.91-4.30
Er: 0.0000 0.0000 0.0000  6 Br 2.80

=====

(2)
## Ac4PdPt3 (PBE)

Data for an optimized crystal structure of Ac4PdPt3.

The value obtained for the total energy is -0.22232 Ha/atom. Its polymorph energy (0 for the lowest one) is 0 meV/atom. The calculated volume comes out at 240.2 Å³/cell. For the density of states at the Fermi level, the calculation gives 4.08 states/eV/cell. The calculation puts the density at 11.057 g cm⁻³. The energy relative to the elements is -1.08 eV per atom.

a = 6.2166 Å, b = 6.2166 Å, c = 6.2166 Å
α = 90.00°, β = 90.00°, γ = 90.00°
Last column: nearest neighbours and their distance in Å.
Fractional positions:
Pt: 0.5000 0.0000 0.5000  6 Ac 3.11
Pt: 0.0000 0.5000 0.5000  6 Ac 3.11
Pt: 0.5000 0.5000 0.0000  6 Ac 3.11
Ac: 0.0000 0.0000 0.5000  4 Pt 3.11, 2 Pd 3.11
Ac: 0.0000 0.5000 0.0000  4 Pt 3.11, 2 Pd 3.11
Ac: 0.5000 0.0000 0.0000  4 Pt 3.11, 2 Pd 3.11
Ac: 0.5000 0.5000 0.5000  6 Pt 3.11
Pd: 0.0000 0.0000 0.0000  6 Ac 3.11

=====

(3)
## GaRhS2Cl (PBE)

Data for an optimized crystal structure of GaRhS2Cl.

The value obtained for the total energy is -0.14875 Ha/atom. For the uncorrected formation energy, the calculation gives 48 meV per atom. Its polymorph energy (0 for the lowest one) is 0 meV/atom. The calculated volume comes out at 109.7 Å³/cell. For the density of states at the Fermi level, the calculation gives 5.59 states/eV/cell. The calculation puts the density at 4.120 g cm⁻³.

a = 4.6204 Å, b = 4.6204 Å, c = 5.1386 Å
α = 90.00°, β = 90.00°, γ = 90.00°
Last column: nearest neighbours and their distance in Å.
Fractional positions:
S: 0.0000 0.5000 0.0000  2 Rh 2.31
S: 0.5000 0.0000 0.0000  2 Rh 2.31
Ga: 0.5000 0.5000 0.5000  4 Cl 3.27, 8 S 3.46
Rh: 0.0000 0.0000 0.0000  4 S 2.31, 2 Cl 2.57
Cl: 0.0000 0.0000 0.5000  2 Rh 2.57

=====

(4)
## AcYTm (PBE)

Data for an optimized crystal structure of AcYTm.

The value obtained for the total energy is -0.17900 Ha/atom. Its polymorph energy (0 for the lowest one) is 76 meV/atom. The calculated volume comes out at 106.1 Å³/cell. For the density of states at the Fermi level, the calculation gives 5.32 states/eV/cell. The calculation puts the density at 7.591 g cm⁻³. The energy relative to the elements is 0.14 eV per atom.

a = 3.5825 Å, b = 5.8469 Å, c = 5.8469 Å
α = 120.00°, β = 90.00°, γ = 90.00°
Last column: nearest neighbours and their distance in Å.
Fractional positions:
Ac: 0.1678 0.0000 0.0000  3 Tm 3.38, 2 Ac 3.58
Tm: 0.1652 0.3333 0.6667  3 Ac 3.38, 2 Tm 3.58
Y: 0.6670 0.6667 0.3333  2 Y 3.58, 6 Tm 3.82, 6 Ac 3.82

=====

(5)
## Cs2KHfBr (PBE)

Data for an optimized crystal structure of Cs2KHfBr.

The value obtained for the total energy is -0.08472 Ha/atom. For the uncorrected formation energy, the calculation gives 581 meV per atom. The calculated volume comes out at 337.7 Å³/cell. For the density of states at the Fermi level, the calculation gives 9.51 states/eV/cell. The calculation puts the density at 2.770 g cm⁻³.

a = 7.0254 Å, b = 6.8428 Å, c = 7.0254 Å
α = 90.00°, β = 90.00°, γ = 90.00°
Last column: nearest neighbours and their distance in Å.
Fractional positions:
Hf: 0.0000 0.0000 0.0000  2 K 3.42, 4 Cs 3.51
Cs: 0.5000 0.0000 0.0000  2 Hf 3.51
Cs: 0.0000 0.0000 0.5000  2 Hf 3.51
Br: 0.5000 0.5000 0.5000  8 Cs 4.90, 4 K 4.97
K: 0.0000 0.5000 0.0000  2 Hf 3.42

=====

(6)
## Pm12Nd6Ho (PBE)

Data for an optimized crystal structure of Pm12Nd6Ho.

The value obtained for the total energy is -0.16962 Ha/atom. Its polymorph energy (0 for the lowest one) is 0 meV/atom. The calculated volume comes out at 665.4 Å³/cell. For the density of states at the Fermi level, the calculation gives 30.37 states/eV/cell. The calculation puts the density at 6.914 g cm⁻³. The energy relative to the elements is 0.13 eV per atom.

a = 8.7309 Å, b = 8.7309 Å, c = 8.7309 Å
α = 89.27°, β = 89.27°, γ = 89.27°
Last column: nearest neighbours and their distance in Å.
Fractional positions:
Pm: 0.4359 0.7790 0.5356  6 Pm 3.35-3.75, 3 Nd 3.44-3.49
Pm: 0.3593 0.0175 0.1935  4 Pm 3.50-3.68, 4 Nd 3.57-3.76, 1 Ho 3.59
Pm: 0.8065 0.6407 0.9825  4 Pm 3.50-3.68, 4 Nd 3.57-3.76, 1 Ho 3.59
Pm: 0.1935 0.3593 0.0175  4 Pm 3.50-3.68, 4 Nd 3.57-3.76, 1 Ho 3.59
Pm: 0.5356 0.4359 0.7790  6 Pm 3.35-3.75, 3 Nd 3.44-3.49
Pm: 0.2210 0.4644 0.5641  6 Pm 3.35-3.75, 3 Nd 3.44-3.49
Pm: 0.4644 0.5641 0.2210  6 Pm 3.35-3.75, 3 Nd 3.44-3.49
Pm: 0.6407 0.9825 0.8065  4 Pm 3.50-3.68, 4 Nd 3.57-3.76, 1 Ho 3.59
Pm: 0.5641 0.2210 0.4644  6 Pm 3.35-3.75, 3 Nd 3.44-3.49
Pm: 0.7790 0.5356 0.4359  6 Pm 3.35-3.75, 3 Nd 3.44-3.49
Pm: 0.0175 0.1935 0.3593  4 Pm 3.50-3.68, 4 Nd 3.57-3.76, 1 Ho 3.59
Pm: 0.9825 0.8065 0.6407  4 Pm 3.50-3.68, 4 Nd 3.57-3.76, 1 Ho 3.59
Nd: 0.0945 0.6980 0.2623  7 Pm 3.44-3.76, 1 Ho 3.57, 2 Nd 3.60
Nd: 0.9055 0.3020 0.7377  7 Pm 3.44-3.76, 1 Ho 3.57, 2 Nd 3.60
Nd: 0.7377 0.9055 0.3020  7 Pm 3.44-3.76, 1 Ho 3.57, 2 Nd 3.60
Nd: 0.3020 0.7377 0.9055  7 Pm 3.44-3.76, 1 Ho 3.57, 2 Nd 3.60
Nd: 0.6980 0.2623 0.0945  7 Pm 3.44-3.76, 1 Ho 3.57, 2 Nd 3.60
Nd: 0.2623 0.0945 0.6980  7 Pm 3.44-3.76, 1 Ho 3.57, 2 Nd 3.60
Ho: 0.0000 0.0000 0.0000  6 Nd 3.57, 6 Pm 3.59

=====

- calculated volume of number 6 (Pm12Nd6Ho)?
  665.4 Å³/cell